1.
# SiRuRh2, optimized geometry, DFT PBEsol
# Space group: P2/m (10)
# ΔE_f (raw) (eV per formula unit): -1.24
# Spin magnetization (μB per cell): 0.00
# Energy (eV/atom): -8.359
data_SiRuRh2
_chemical_formula_sum 'Si1 Ru1 Rh2'
_cell_length_a 2.723
_cell_length_b 3.876
_cell_length_c 5.114
_cell_angle_alpha 90.00
_cell_angle_beta 102.72
_cell_angle_gamma 90.00
_symmetry_space_group_name_H-M 'P 1'
_symmetry_Int_Tables_number 1
loop_
_symmetry_equiv_pos_as_xyz
'x,y,z'
loop_
_atom_site_label
_atom_site_fract_x
_atom_site_fract_y
_atom_site_fract_z
_atom_site_occupancy
Si1 0.000 0.000 0.000 1
Ru1 0.000 0.000 0.500 1
Rh1 0.382 0.500 0.241 1
Rh2 0.618 0.500 0.759 1



2.
# SiRuRh2, optimized geometry, DFT PBEsol
# Space group: Cmmm (65)
# ΔE_f (raw) (eV per formula unit): -1.20
# Spin magnetization (μB per cell): 0.00
# Energy (eV/atom): -8.349
data_SiRuRh2
_chemical_formula_sum 'Si1 Ru1 Rh2'
_cell_length_a 4.505
_cell_length_b 4.505
_cell_length_c 2.703
_cell_angle_alpha 90.00
_cell_angle_beta 90.00
_cell_angle_gamma 107.89
_symmetry_space_group_name_H-M 'P 1'
_symmetry_Int_Tables_number 1
loop_
_symmetry_equiv_pos_as_xyz
'x,y,z'
loop_
_atom_site_label
_atom_site_fract_x
_atom_site_fract_y
_atom_site_fract_z
_atom_site_occupancy
Si1 0.000 0.000 0.000 1
Ru1 0.500 0.500 0.000 1
Rh1 0.000 0.500 0.500 1
Rh2 0.500 0.000 0.500 1



3.
# Y2SnRuRh, optimized geometry, DFT PBEsol
# Space group: P4/mmm (123)
# DFT formation energy (eV per atom): 1.072
# Spin magnetization (μB per cell): 1.68
# Energy (eV/atom): -6.171
data_Y2SnRuRh
_chemical_formula_sum 'Y2 Sn1 Ru1 Rh1'
_cell_length_a 5.517
_cell_length_b 5.517
_cell_length_c 4.659
_cell_angle_alpha 90.00
_cell_angle_beta 90.00
_cell_angle_gamma 90.00
_symmetry_space_group_name_H-M 'P 1'
_symmetry_Int_Tables_number 1
loop_
_symmetry_equiv_pos_as_xyz
'x,y,z'
loop_
_atom_site_label
_atom_site_fract_x
_atom_site_fract_y
_atom_site_fract_z
_atom_site_occupancy
Y1 0.000 0.500 0.000 1
Y2 0.500 0.000 0.000 1
Sn1 0.000 0.000 0.000 1
Ru1 0.500 0.500 0.500 1
Rh1 0.000 0.000 0.500 1



4.
# SrRuRh, optimized geometry, DFT PBEsol
# Space group: F-43m (216)
# DFT formation energy (eV per atom): 0.874
# Spin magnetization (μB per cell): 1.53
# Energy (eV/atom): -5.843
data_SrRuRh
_chemical_formula_sum 'Sr1 Ru1 Rh1'
_cell_length_a 4.466
_cell_length_b 4.466
_cell_length_c 4.466
_cell_angle_alpha 60.00
_cell_angle_beta 60.00
_cell_angle_gamma 60.00
_symmetry_space_group_name_H-M 'P 1'
_symmetry_Int_Tables_number 1
loop_
_symmetry_equiv_pos_as_xyz
'x,y,z'
loop_
_atom_site_label
_atom_site_fract_x
_atom_site_fract_y
_atom_site_fract_z
_atom_site_occupancy
Sr1 0.000 0.000 0.000 1
Ru1 0.750 0.750 0.750 1
Rh1 0.500 0.500 0.500 1



5.
# Sr2RuRh, optimized geometry, DFT PBEsol
# Space group: Imm2 (44)
# DFT formation energy (eV per atom): 0.267
# Spin magnetization (μB per cell): 0.00
# Energy (eV/atom): -5.231
data_Sr2RuRh
_chemical_formula_sum 'Sr2 Ru1 Rh1'
_cell_length_a 5.768
_cell_length_b 5.768
_cell_length_c 5.768
_cell_angle_alpha 137.13
_cell_angle_beta 127.39
_cell_angle_gamma 70.11
_symmetry_space_group_name_H-M 'P 1'
_symmetry_Int_Tables_number 1
loop_
_symmetry_equiv_pos_as_xyz
'x,y,z'
loop_
_atom_site_label
_atom_site_fract_x
_atom_site_fract_y
_atom_site_fract_z
_atom_site_occupancy
Sr1 0.000 0.000 0.000 1
Sr2 0.708 0.208 0.500 1
Ru1 0.402 0.402 0.000 1
Rh1 0.300 0.800 0.500 1



6.
# SrRuRh2, optimized geometry, DFT PBEsol
# Space group: F-43m (216)
# Polymorph energy (0 for the lowest one) (meV per atom): 102
# DFT formation energy (eV per atom): 0.684
# Spin magnetization (μB per cell): 1.07
# Energy (eV/atom): -6.389
data_SrRuRh2
_chemical_formula_sum 'Sr1 Ru1 Rh2'
_cell_length_a 4.556
_cell_length_b 4.556
_cell_length_c 4.556
_cell_angle_alpha 60.00
_cell_angle_beta 60.00
_cell_angle_gamma 60.00
_symmetry_space_group_name_H-M 'P 1'
_symmetry_Int_Tables_number 1
loop_
_symmetry_equiv_pos_as_xyz
'x,y,z'
loop_
_atom_site_label
_atom_site_fract_x
_atom_site_fract_y
_atom_site_fract_z
_atom_site_occupancy
Sr1 0.000 0.000 0.000 1
Ru1 0.250 0.250 0.250 1
Rh1 0.500 0.500 0.500 1
Rh2 0.750 0.750 0.750 1